# 1
{"formula": "KOs2Rh", "functional": "PBE", "state": "relaxed", "formation_enthalpy_0k_ev_per_atom": 1.426, "vol_a3_per_atom": 16.46, "e_tot_ev_per_atom": -6.301, "sg": "No. 119", "e_above_lowest_polymorph_ev_per_atom": 0.767, "lattice_angstrom": [[-2.577, -2.479, 2.781], [2.447, -3.672, -1.026], [2.059, 3.726, 1.550]], "species": ["K", "Os", "Os", "Rh"], "frac_coords": [[0.750, 0.250, 0.500], [0.000, 0.000, 0.000], [0.250, 0.750, 0.500], [0.500, 0.500, 0.000]]}


# 2
{"formula": "SrY2TlRu", "functional": "PBE", "state": "relaxed", "formation_enthalpy_0k_ev_per_atom": -0.123, "vol_a3_per_atom": 31.21, "e_tot_ev_per_atom": -5.373, "sg": "No. 123", "lattice_angstrom": [[-4.241, -2.621, 1.864], [3.184, -3.858, 1.817], [0.472, 2.653, 4.805]], "species": ["Y", "Y", "Ru", "Tl", "Sr"], "frac_coords": [[0.000, 0.500, 0.000], [0.500, 0.000, 0.000], [0.000, 0.000, 0.000], [0.000, 0.000, 0.500], [0.500, 0.500, 0.500]]}


# 3
{"formula": "DyBeRe", "functional": "PBE", "state": "relaxed", "formation_enthalpy_0k_ev_per_atom": 0.264, "vol_a3_per_atom": 17.60, "e_tot_ev_per_atom": -6.661, "sg": "No. 63", "lattice_angstrom": [[-1.904, 0.425, 2.729], [-2.572, -0.864, -1.660], [0.246, -9.873, 1.710]], "species": ["Dy", "Dy", "Be", "Be", "Re", "Re"], "frac_coords": [[0.250, 0.110, 0.780], [0.750, 0.890, 0.220], [0.250, 0.474, 0.052], [0.750, 0.526, 0.948], [0.750, 0.718, 0.564], [0.250, 0.282, 0.436]]}


# 4
{"formula": "URu2Rh", "functional": "PBE", "state": "relaxed", "formation_enthalpy_0k_ev_per_atom": -0.125, "vol_a3_per_atom": 16.75, "e_tot_ev_per_atom": -9.423, "sg": "No. 166", "lattice_angstrom": [[4.430, 0.000, 0.000], [2.215, 3.837, 0.000], [2.215, 1.279, 3.941]], "species": ["Rh", "U", "Ru", "Ru"], "frac_coords": [[0.000, 0.000, 0.000], [0.500, 0.500, 0.500], [0.776, 0.776, 0.671], [0.224, 0.224, 0.329]]}


# 5
{"formula": "Pa5Bi", "functional": "PBE", "state": "relaxed", "formation_enthalpy_0k_ev_per_atom": -0.028, "vol_a3_per_atom": 25.51, "e_tot_ev_per_atom": -8.588, "sg": "No. 65", "lattice_angstrom": [[-2.153, 0.071, -3.946], [1.838, -4.222, -1.079], [-6.585, -1.131, 3.573]], "species": ["Pa", "Pa", "Pa", "Pa", "Pa", "Bi"], "frac_coords": [[0.000, 0.664, 0.328], [0.000, 0.336, 0.672], [0.500, 0.500, 0.000], [0.500, 0.167, 0.335], [0.500, 0.833, 0.665], [0.000, 0.000, 0.000]]}


# 6
{"formula": "Li4Tl", "functional": "PBE", "state": "relaxed", "formation_enthalpy_0k_ev_per_atom": -0.016, "vol_a3_per_atom": 21.40, "e_tot_ev_per_atom": -2.020, "sg": "No. 53", "e_above_lowest_polymorph_ev_per_atom": 0.175, "lattice_angstrom": [[-3.808, 2.605, 1.273], [-3.301, -6.028, 2.462], [2.468, 0.905, 5.531]], "species": ["Li", "Li", "Li", "Li", "Li", "Li", "Li", "Li", "Tl", "Tl"], "frac_coords": [[0.250, 0.290, 0.250], [0.750, 0.710, 0.250], [0.750, 0.710, 0.750], [0.250, 0.290, 0.750], [0.749, 0.359, 0.499], [0.249, 0.641, 0.001], [0.251, 0.641, 0.501], [0.751, 0.359, 0.999], [0.000, 0.000, 0.000], [0.500, 0.000, 0.500]]}


# 7
{"formula": "V3SnH", "functional": "PBE", "state": "relaxed", "vol_a3_per_atom": 12.66, "e_tot_ev_per_atom": -7.007, "sg": "No. 167", "lattice_angstrom": [[0.394, 3.674, 3.403], [3.744, -2.382, 2.353], [3.450, 2.387, -2.763]], "species": ["H", "H", "Sn", "Sn", "V", "V", "V", "V", "V", "V"], "frac_coords": [[0.250, 0.250, 0.250], [0.750, 0.750, 0.750], [0.000, 0.000, 0.000], [0.500, 0.500, 0.500], [0.999, 0.501, 0.250], [0.501, 0.250, 0.999], [0.250, 0.999, 0.501], [0.750, 0.001, 0.499], [0.499, 0.750, 0.001], [0.001, 0.499, 0.750]]}


# 8
{"formula": "CsTmWN3", "functional": "PBE", "state": "relaxed", "vol_a3_per_atom": 18.32, "raw_formation_energy_mev_per_atom": -588, "e_tot_ev_per_atom": -7.797, "sg": "No. 12", "lattice_angstrom": [[3.944, 0.000, 0.000], [-1.972, 6.723, -0.030], [0.000, -1.995, 8.299]], "species": ["Cs", "Cs", "Tm", "Tm", "W", "W", "N", "N", "N", "N", "N", "N"], "frac_coords": [[0.356, 0.712, 0.933], [0.644, 0.288, 0.067], [0.662, 0.324, 0.570], [0.338, 0.676, 0.430], [0.008, 0.015, 0.344], [0.992, 0.985, 0.656], [0.863, 0.726, 0.261], [0.836, 0.671, 0.612], [0.514, 0.028, 0.333], [0.164, 0.329, 0.388], [0.486, 0.972, 0.667], [0.137, 0.274, 0.739]]}


# 9
{"formula": "Tl11Hg5Bi", "functional": "PBE", "state": "relaxed", "formation_enthalpy_0k_ev_per_atom": 0.010, "vol_a3_per_atom": 31.24, "e_tot_ev_per_atom": -1.839, "sg": "No. 12", "lattice_angstrom": [[8.374, -0.104, -2.888], [-4.931, 7.661, -1.909], [-1.210, -0.879, 9.188]], "species": ["Tl", "Tl", "Tl", "Tl", "Tl", "Tl", "Tl", "Tl", "Tl", "Tl", "Tl", "Hg", "Hg", "Hg", "Hg", "Hg", "Bi"], "frac_coords": [[0.470, 0.683, 0.683], [0.530, 0.317, 0.317], [0.723, 0.132, 0.750], [0.277, 0.868, 0.250], [0.277, 0.250, 0.868], [0.723, 0.750, 0.132], [0.500, 0.000, 0.000], [0.790, 0.789, 0.538], [0.210, 0.211, 0.462], [0.210, 0.462, 0.211], [0.790, 0.538, 0.789], [0.795, 0.102, 0.439], [0.205, 0.898, 0.561], [0.205, 0.561, 0.898], [0.795, 0.439, 0.102], [0.000, 0.500, 0.500], [0.000, 0.000, 0.000]]}


# 10
{"formula": "Nd4Y8Ho3", "functional": "PBE", "state": "relaxed", "formation_enthalpy_0k_ev_per_atom": 0.125, "vol_a3_per_atom": 33.58, "e_tot_ev_per_atom": -5.510, "sg": "No. 166", "e_above_lowest_polymorph_ev_per_atom": 0.000, "lattice_angstrom": [[6.162, 0.000, 3.323], [2.185, 5.762, 3.323], [-2.569, -1.774, 12.139]], "species": ["Nd", "Nd", "Nd", "Nd", "Y", "Y", "Y", "Y", "Y", "Y", "Y", "Y", "Ho", "Ho", "Ho"], "frac_coords": [[0.000, 0.000, 0.000], [0.336, 0.336, 0.991], [0.500, 0.500, 0.500], [0.664, 0.664, 0.009], [0.245, 0.245, 0.266], [0.248, 0.750, 0.253], [0.750, 0.750, 0.253], [0.750, 0.248, 0.253], [0.755, 0.755, 0.734], [0.752, 0.250, 0.747], [0.250, 0.250, 0.747], [0.250, 0.752, 0.747], [0.500, 0.000, 0.500], [0.000, 0.000, 0.500], [0.000, 0.500, 0.500]]}


# 11
{"formula": "Ba2Sn4HgAu3", "functional": "PBE", "state": "relaxed", "formation_enthalpy_0k_ev_per_atom": -0.554, "vol_a3_per_atom": 27.68, "e_tot_ev_per_atom": -3.553, "sg": "No. 115", "lattice_angstrom": [[-2.985, -0.861, -3.788], [-1.594, -4.085, 2.184], [-8.341, 6.036, 5.202]], "species": ["Ba", "Ba", "Sn", "Sn", "Sn", "Sn", "Hg", "Au", "Au", "Au"], "frac_coords": [[0.500, 0.000, 0.254], [0.000, 0.500, 0.746], [0.500, 0.500, 0.000], [0.000, 0.000, 0.000], [0.500, 0.000, 0.634], [0.000, 0.500, 0.366], [0.500, 0.500, 0.500], [0.000, 0.000, 0.500], [0.500, 0.000, 0.873], [0.000, 0.500, 0.127]]}


# 12
{"formula": "Sr2Ga6Rh", "functional": "PBE", "state": "relaxed", "formation_enthalpy_0k_ev_per_atom": -0.469, "vol_a3_per_atom": 20.89, "e_tot_ev_per_atom": -3.677, "sg": "No. 164", "lattice_angstrom": [[5.878, -0.028, -0.016], [0.029, 6.077, 0.005], [0.029, 3.032, 5.266]], "species": ["Sr", "Sr", "Ga", "Ga", "Ga", "Ga", "Ga", "Ga", "Rh"], "frac_coords": [[0.841, 0.666, 0.666], [0.159, 0.334, 0.334], [0.327, 0.337, 0.832], [0.326, 0.831, 0.831], [0.327, 0.832, 0.337], [0.673, 0.663, 0.168], [0.674, 0.169, 0.169], [0.673, 0.168, 0.663], [0.000, 0.000, 0.000]]}


# 13
{"formula": "Dy4PbSe3", "functional": "PBE", "state": "relaxed", "vol_a3_per_atom": 25.84, "raw_formation_energy_mev_per_atom": -1434, "e_tot_ev_per_atom": -5.506, "sg": "No. 47", "lattice_angstrom": [[-2.082, 3.264, -1.529], [-1.346, -3.125, -4.840], [-7.015, -2.734, 3.716]], "species": ["Pb", "Se", "Se", "Se", "Dy", "Dy", "Dy", "Dy"], "frac_coords": [[0.000, 0.000, 0.000], [0.500, 0.500, 0.255], [0.000, 0.000, 0.500], [0.500, 0.500, 0.745], [0.000, 0.500, 0.500], [0.500, 0.000, 0.739], [0.000, 0.500, 0.000], [0.500, 0.000, 0.261]]}


# 14
{"formula": "LiPa2WN5", "functional": "PBE", "state": "relaxed", "vol_a3_per_atom": 11.70, "raw_formation_energy_mev_per_atom": -1082, "e_tot_ev_per_atom": -9.470, "sg": "No. 36", "lattice_angstrom": [[3.266, 0.000, 0.000], [-1.633, 6.597, 0.000], [0.000, 0.000, 9.779]], "species": ["Li", "Li", "Pa", "Pa", "Pa", "Pa", "W", "W", "N", "N", "N", "N", "N", "N", "N", "N", "N", "N"], "frac_coords": [[0.520, 0.039, 0.967], [0.480, 0.961, 0.467], [0.865, 0.729, 0.808], [0.113, 0.225, 0.688], [0.135, 0.271, 0.308], [0.887, 0.775, 0.188], [0.810, 0.619, 0.509], [0.190, 0.381, 0.009], [0.357, 0.714, 0.004], [0.692, 0.384, 0.866], [0.494, 0.989, 0.768], [0.289, 0.578, 0.658], [0.946, 0.892, 0.555], [0.643, 0.286, 0.504], [0.308, 0.616, 0.366], [0.506, 0.011, 0.268], [0.711, 0.422, 0.158], [0.054, 0.108, 0.055]]}


# 15
{"formula": "LiGeO3", "functional": "PBE", "state": "relaxed", "vol_a3_per_atom": 11.34, "raw_formation_energy_mev_per_atom": -1330, "e_tot_ev_per_atom": -5.611, "sg": "No. 227", "lattice_angstrom": [[-6.189, -1.053, 2.728], [-1.758, -6.243, 2.189], [-0.621, -1.227, 6.706]], "species": ["Li", "Li", "Li", "Li", "Ge", "Ge", "Ge", "Ge", "O", "O", "O", "O", "O", "O", "O", "O", "O", "O", "O", "O"], "frac_coords": [[0.125, 0.625, 0.125], [0.125, 0.125, 0.125], [0.125, 0.125, 0.625], [0.625, 0.125, 0.125], [0.625, 0.125, 0.625], [0.625, 0.625, 0.625], [0.625, 0.625, 0.125], [0.125, 0.625, 0.625], [0.710, 0.290, 0.710], [0.290, 0.710, 0.290], [0.710, 0.290, 0.290], [0.290, 0.710, 0.710], [0.710, 0.710, 0.290], [0.290, 0.290, 0.710], [0.540, 0.960, 0.540], [0.960, 0.540, 0.960], [0.540, 0.960, 0.960], [0.960, 0.540, 0.540], [0.540, 0.540, 0.960], [0.960, 0.960, 0.540]]}


# 16
{"formula": "FeHPd2Rh", "functional": "PBE", "state": "relaxed", "vol_a3_per_atom": 12.10, "e_tot_ev_per_atom": -5.870, "sg": "No. 123", "e_above_lowest_polymorph_ev_per_atom": 0.072, "lattice_angstrom": [[3.857, 0.000, 0.000], [0.000, 3.857, 0.000], [0.000, 0.000, 4.065]], "species": ["H", "Rh", "Fe", "Pd", "Pd"], "frac_coords": [[0.000, 0.000, 0.000], [0.500, 0.500, 0.500], [0.000, 0.000, 0.500], [0.000, 0.500, 0.000], [0.500, 0.000, 0.000]]}


# 17
{"formula": "LaMg2Hg4", "functional": "PBE", "state": "relaxed", "formation_enthalpy_0k_ev_per_atom": -0.290, "vol_a3_per_atom": 25.90, "e_tot_ev_per_atom": -1.621, "sg": "No. 166", "lattice_angstrom": [[-3.391, 3.086, 1.857], [-4.613, -0.029, -1.786], [-4.872, -4.884, 5.810]], "species": ["La", "Mg", "Mg", "Hg", "Hg", "Hg", "Hg"], "frac_coords": [[0.000, 0.000, 0.000], [0.755, 0.755, 0.734], [0.245, 0.245, 0.266], [0.869, 0.869, 0.394], [0.131, 0.131, 0.606], [0.606, 0.606, 0.183], [0.394, 0.394, 0.817]]}


# 18
{"formula": "CaPmY4Ho2", "functional": "PBE", "state": "relaxed", "formation_enthalpy_0k_ev_per_atom": 0.434, "vol_a3_per_atom": 34.46, "e_tot_ev_per_atom": -4.787, "sg": "No. 15", "lattice_angstrom": [[9.467, -0.023, -1.781], [-0.030, 9.467, -1.781], [-6.025, -6.030, 8.428]], "species": ["Ca", "Ca", "Pm", "Pm", "Y", "Y", "Y", "Y", "Y", "Y", "Y", "Y", "Ho", "Ho", "Ho", "Ho"], "frac_coords": [[0.500, 0.500, 0.500], [0.000, 0.000, 0.000], [0.000, 0.500, 0.000], [0.000, 0.500, 0.500], [0.256, 0.746, 0.001], [0.754, 0.244, 0.499], [0.246, 0.756, 0.501], [0.744, 0.254, 0.999], [0.744, 0.749, 0.013], [0.751, 0.756, 0.487], [0.249, 0.244, 0.513], [0.256, 0.251, 0.987], [0.500, 0.000, 0.000], [0.500, 0.000, 0.500], [0.000, 0.000, 0.500], [0.500, 0.500, 0.000]]}


# 19
{"formula": "PmDy4Mg7", "functional": "PBE", "state": "relaxed", "formation_enthalpy_0k_ev_per_atom": 0.147, "vol_a3_per_atom": 28.45, "e_tot_ev_per_atom": -2.713, "sg": "No. 12", "lattice_angstrom": [[-0.881, 5.546, 0.797], [-6.852, 2.927, -7.760], [-4.646, 1.555, 4.227]], "species": ["Pm", "Dy", "Dy", "Dy", "Dy", "Mg", "Mg", "Mg", "Mg", "Mg", "Mg", "Mg"], "frac_coords": [[0.000, 0.000, 0.000], [0.612, 0.222, 0.553], [0.388, 0.778, 0.447], [0.751, 0.677, 0.820], [0.249, 0.323, 0.180], [0.778, 0.922, 0.521], [0.222, 0.078, 0.479], [0.066, 0.674, 0.194], [0.934, 0.326, 0.806], [0.367, 0.510, 0.757], [0.500, 0.000, 0.000], [0.633, 0.490, 0.243]]}


# 20
{"formula": "BaNb2BC", "functional": "PBE", "state": "relaxed", "formation_enthalpy_0k_ev_per_atom": 3.739, "vol_a3_per_atom": 23.17, "e_tot_ev_per_atom": -3.854, "sg": "No. 123", "lattice_angstrom": [[5.196, 0.000, 0.000], [0.000, 4.291, 0.000], [0.000, 0.000, 5.196]], "species": ["C", "Nb", "Nb", "B", "Ba"], "frac_coords": [[0.000, 0.500, 0.000], [0.000, 0.000, 0.500], [0.500, 0.000, 0.000], [0.500, 0.500, 0.500], [0.000, 0.000, 0.000]]}


Summary of D(E_F) in states/eV/f.u.
4.89; 3.34; 2.46; 7.29; 11.42; 2.05; 1.66; 4.77; 6.44; 23.38; 4.74; 3.36; 3.15; 3.91; 2.72; 4.36; 4.50; 17.51; 13.07; 5.70
(order as listed above)